The following is a PBE calculation of a geometry-optimized Ga2GeP structure, from the Alexandria database.

Output
D(E_F) (states/eV per atom): 0.391
E (eV/f.u.): -14.938
Total magnetization (μB/f.u.): 0.000
E above lowest polymorph (meV/atom): 366

Cell lengths 4.6486, 4.6486, 4.6486 Å; angles 60.00, 60.00, 60.00 degrees
Closest atoms and distances in Å follow each position.
Fractional positions:
1 P 0.0000 0.0000 0.0000  8 Ga 2.85
2 Ga 0.7500 0.7500 0.7500  4 P 2.85, 4 Ge 2.85
3 Ga 0.2500 0.2500 0.2500  4 Ge 2.85, 4 P 2.85
4 Ge 0.5000 0.5000 0.5000  8 Ga 2.85